DFT (GGA-PBE) results for CaGeBr2 after structural relaxation.

The calculation puts the relative energy among the computed polymorphs at 366 meV/atom. As for the crystal system: trigonal. The density comes out at 3.49 g/cm³. As for the energy relative to the elements, uncorrected: -877 meV/atom.

The space group is R-3m (No. 166, hexagonal axes) and the conventional cell measures 3.8909, 3.8909 and 29.6577 Å, with angles of 90.00, 90.00 and 120.00 degrees. The distinct sites, in fractional coordinates, are Ca at (0.0000, 0.0000, 0.0000), Ge at (0.0000, 0.0000, 0.5000) and Br at (0.0000, 0.0000, 0.3935).

---

DFT (GGA-PBE) results for LuMg16Al12 after structural relaxation.

The calculated formation energy is -70 meV/atom. The calculation puts the relative energy among the computed polymorphs at 0 meV/atom. As for the crystal system: cubic. The density comes out at 2.52 g/cm³.

The space group is I-43m (No. 217) and the conventional cell measures 10.541, 10.541 and 10.541 Å, with angles of 90.00, 90.00 and 90.00 degrees. The distinct sites, in fractional coordinates, are Lu at (0.000, 0.000, 0.000), Mg at (0.038, 0.357, 0.643), Mg at (0.178, 0.178, 0.178) and Al at (0.090, 0.090, 0.724).

---

DFT (GGA-PBE) results for CePrOs after structural relaxation.

The calculated formation energy is 16 meV/atom. The calculation puts the relative energy among the computed polymorphs at 105 meV/atom. As for the crystal system: tetragonal. The density comes out at 10.84 g/cm³.

The space group is I4mm (No. 107) and the conventional cell measures 3.581, 3.581 and 11.263 Å, with angles of 90.00, 90.00 and 90.00 degrees. The distinct sites, in fractional coordinates, are Ce at (0.000, 0.000, 0.000), Pr at (0.000, 0.000, 0.705) and Os at (0.000, 0.000, 0.381).

---

DFT (GGA-PBE) results for Ti2Mn2Pt after structural relaxation.

The calculated formation energy is -284 meV/atom. The calculation puts the relative energy among the computed polymorphs at 51 meV/atom. As for the crystal system: tetragonal. The density comes out at 9.51 g/cm³.

The space group is P4/mbm (No. 127) and the conventional cell measures 6.793, 6.793 and 3.032 Å, with angles of 90.00, 90.00 and 90.00 degrees. The distinct sites, in fractional coordinates, are Ti at (0.195, 0.305, 0.000), Mn at (0.106, 0.606, 0.500) and Pt at (0.000, 0.000, 0.500).